ZrBeN2 | GGA-PBE | optimized geometry

## Properties
Raw total energy: -6.782 eV per atom
Density of states at the Fermi level: 3.6 states/eV/f.u.
Crystal system: trigonal

a = 5.9496 Å, b = 5.9496 Å, c = 5.9496 Å
α = 30.02°, β = 30.02°, γ = 30.02°
Last column: nearest neighbours and their distance in Å.
Sites, in units of the cell vectors:
1 Zr 0.0000 0.0000 0.0000  2 N 2.03
2 Be 0.5000 0.5000 0.5000  6 N 1.96
3 N 0.1190 0.1190 0.1190  3 Be 1.96, 1 Zr 2.03
4 N 0.8810 0.8810 0.8810  3 Be 1.96, 1 Zr 2.03